The following is a PBE calculation of a geometry-optimized Nd2HoPuO8 structure, from the Alexandria database.

* total magnetization: 1.0 μB/cell
* DOS at the Fermi energy: 1.45 states/eV/cell
* formation energy without anion corrections: -2998 meV/atom

Geometry as POSCAR:
```
Nd2HoPuO8
1.0
4.0036 0.0000 0.0000
0.5962 5.5225 0.0000
0.0545 0.2058 7.5431
Nd Ho Pu O
2 1 1 8
direct
0.0001 0.0119 0.2406
0.9999 0.9881 0.7594
0.5000 0.5000 0.0000
0.5000 0.5000 0.5000
0.0153 0.7446 0.0108
0.0738 0.7147 0.5032
0.4479 0.2821 0.7150
0.4588 0.2604 0.2687
0.5412 0.7396 0.7313
0.5521 0.7179 0.2850
0.9262 0.2853 0.4968
0.9847 0.2554 0.9892
```